Entry 1:
# Cu4Si2NiS7, optimized geometry, DFT PBE-GGA
data_Cu4Si2NiS7
_chemical_formula_sum 'Cu8 Si4 Ni2 S14'
_cell_length_a 11.5550
_cell_length_b 5.2895
_cell_length_c 8.1833
_cell_angle_alpha 90.00
_cell_angle_beta 98.67
_cell_angle_gamma 90.00
_symmetry_space_group_name_H-M 'C 1 2 1'
_symmetry_Int_Tables_number 5
loop_
_symmetry_equiv_pos_as_xyz
'x,y,z'
'-x,y,-z'
'x+1/2,y+1/2,z'
'-x+1/2,y+1/2,-z'
loop_
_atom_site_label
_atom_site_type_symbol
_atom_site_fract_x
_atom_site_fract_y
_atom_site_fract_z
Cu1 Cu 0.1398 0.0000 0.4326
Cu2 Cu 0.2102 0.5149 0.1394
Si1 Si 0.0744 0.5280 0.7176
Ni1 Ni 0.0000 0.0202 0.0000
S1 S 0.0000 0.2877 0.5000
S2 S 0.0629 0.7607 0.2122
S3 S 0.1381 0.2697 0.9145
S4 S 0.2144 0.7475 0.6486
# Formation energy (no corrections)   -0.425 eV per atom
# Crystal system   monoclinic

=====

Entry 2:
# Cu2NiSn3S8, optimized geometry, DFT PBE-GGA
data_Cu2NiSn3S8
_chemical_formula_sum 'Cu6 Ni3 Sn9 S24'
_cell_length_a 7.3812
_cell_length_b 7.3812
_cell_length_c 17.8412
_cell_angle_alpha 90.00
_cell_angle_beta 90.00
_cell_angle_gamma 120.00
_symmetry_space_group_name_H-M 'R -3 m'
_symmetry_Int_Tables_number 166
_symmetry_space_group_name_Hall '-R 3 2"'
loop_
_atom_site_label
_atom_site_type_symbol
_atom_site_fract_x
_atom_site_fract_y
_atom_site_fract_z
Cu1 Cu 0.0000 0.0000 0.1153
Ni1 Ni 0.0000 0.0000 0.5000
Sn1 Sn 0.0000 0.5000 0.0000
S1 S 0.0000 0.0000 0.2482
S2 S 0.0214 0.5107 0.2466
# Formation energy (no corrections)   -0.350 eV per atom
# Crystal system   trigonal

=====

Entry 3:
# SrCu2NiS, optimized geometry, DFT PBE-GGA
data_SrCu2NiS
_chemical_formula_sum 'Sr1 Cu2 Ni1 S1'
_cell_length_a 5.1794
_cell_length_b 5.1794
_cell_length_c 4.7835
_cell_angle_alpha 90.00
_cell_angle_beta 90.00
_cell_angle_gamma 90.00
_symmetry_space_group_name_H-M 'P 4/m m m'
_symmetry_Int_Tables_number 123
_symmetry_space_group_name_Hall '-P 4 2'
loop_
_atom_site_label
_atom_site_type_symbol
_atom_site_fract_x
_atom_site_fract_y
_atom_site_fract_z
Sr1 Sr 0.0000 0.0000 0.0000
Cu1 Cu 0.0000 0.5000 0.0000
Ni1 Ni 0.0000 0.0000 0.5000
S1 S 0.5000 0.5000 0.5000
# Formation energy (no corrections)   1.689 eV per atom
# Crystal system   tetragonal

=====

Entry 4:
# Ta2Cu2NiS6, optimized geometry, DFT PBE-GGA
data_Ta2Cu2NiS6
_chemical_formula_sum 'Ta4 Cu4 Ni2 S12'
_cell_length_a 5.8495
_cell_length_b 10.8227
_cell_length_c 5.9139
_cell_angle_alpha 90.00
_cell_angle_beta 95.93
_cell_angle_gamma 90.00
_symmetry_space_group_name_H-M 'C 1 2/m 1'
_symmetry_Int_Tables_number 12
loop_
_symmetry_equiv_pos_as_xyz
'x,y,z'
'-x,-y,-z'
'-x,y,-z'
'x,-y,z'
'x+1/2,y+1/2,z'
'-x+1/2,-y+1/2,-z'
'-x+1/2,y+1/2,-z'
'x+1/2,-y+1/2,z'
loop_
_atom_site_label
_atom_site_type_symbol
_atom_site_fract_x
_atom_site_fract_y
_atom_site_fract_z
Ta1 Ta 0.0000 0.1380 0.0000
Cu1 Cu 0.0000 0.1936 0.5000
Ni1 Ni 0.0000 0.5000 0.0000
S1 S 0.1767 0.3311 0.2300
S2 S 0.2103 0.0000 0.2664
# Formation energy (no corrections)   -0.533 eV per atom
# Crystal system   monoclinic

=====

Sequential VASP energy output: -67.854, -63.902, -11.337, -68.309 eV per formula unit